[1]
# TeAsIrSe2

A relaxed TeAsIrSe2 crystal (PBE, the Alexandria database).

Results
energy relative to the elements, uncorrected: 0.4514 eV/atom
energy relative to the lowest polymorph listed for this composition: 0.0 kJ per mole of atoms
total magnetization: 0.00 μB/atom

Cell lengths 5.056, 5.056, 4.658 Å; angles 90.00, 90.00, 90.00 degrees
Space group P4/mmm (No. 123)
Asymmetric unit:
Te: 0.000 0.000 0.000 x1
As: 0.500 0.500 0.000 x1
Ir: 0.500 0.500 0.500 x1
Se: 0.000 0.500 0.500 x2

---

[2]
# Cs12Bi3I5

A relaxed Cs12Bi3I5 crystal (PBE, the Alexandria database).

Results
energy relative to the elements, uncorrected: -0.8516 eV/atom
total magnetization: 0.11 μB/atom

Cell lengths 22.667, 22.667, 22.667 Å; angles 90.00, 90.00, 90.00 degrees
Space group Ia-3d (No. 230)
Asymmetric unit:
Cs: 0.014 0.071 0.655 x96
Bi: 0.000 0.250 0.125 x24
I: 0.000 0.000 0.000 x16
I: 0.000 0.250 0.375 x24

---

[3]
# Tm12Tl6Zn

A relaxed Tm12Tl6Zn crystal (PBE, the Alexandria database).

Results
total magnetization: 0.00 μB/atom
E_form: 3.5 kJ/mol of atoms

Cell lengths 13.2616, 13.2616, 12.2040 Å; angles 90.00, 90.00, 120.00 degrees
Space group R-3 (No. 148, hexagonal axes)
Asymmetric unit:
Tm: 0.0370 0.8229 0.3950 x18
Tm: 0.0468 0.8416 0.8907 x18
Tl: 0.0489 0.7840 0.6495 x18
Zn: 0.0000 0.0000 0.0000 x3

---

[4]
# BeTcTe2As

A relaxed BeTcTe2As crystal (PBE, the Alexandria database).

Results
energy relative to the elements, uncorrected: 1.3690 eV/atom
total magnetization: 0.63 μB/atom

Cell lengths 5.536, 5.536, 4.692 Å; angles 90.00, 90.00, 90.00 degrees
Space group P4/mmm (No. 123)
Asymmetric unit:
Be: 0.000 0.000 0.000 x1
Tc: 0.500 0.500 0.000 x1
Te: 0.000 0.500 0.500 x2
As: 0.500 0.500 0.500 x1